(1)
Entry from Alexandria via LeMat-Bulk: a relaxed Zn2InGa4 crystal (GGA-PBE).

Geometry as POSCAR:
```
Zn2InGa4
1.0
4.604 -3.360 0.000
4.604 3.360 0.000
-2.645 0.000 4.360
Zn In Ga
2 1 4
Cartesian
-0.656 0.000 1.086
7.220 0.000 3.274
4.604 0.000 0.000
1.980 1.339 1.304
1.980 -1.339 1.304
4.583 1.339 3.055
4.583 -1.339 3.055
```

Calculated values
Symmetry: No. 12

(2)
Entry from Alexandria via LeMat-Bulk: a relaxed ZnInGa3 crystal (GGA-PBE).

Geometry as POSCAR:
```
ZnInGa3
1.0
4.913 0.000 0.000
0.000 4.913 0.000
0.000 0.000 4.913
Zn In Ga
1 1 3
Cartesian
0.000 0.000 0.000
2.457 2.457 2.457
0.000 0.000 2.457
0.000 2.457 0.000
2.457 0.000 0.000
```

Calculated values
Symmetry: No. 221

(3)
Entry from Alexandria via LeMat-Bulk: a relaxed ZnInGa6 crystal (GGA-PBE).

Geometry as POSCAR:
```
ZnInGa6
1.0
2.904 0.000 0.000
0.000 8.206 0.000
0.000 0.000 7.254
Zn In Ga
1 1 6
Cartesian
0.000 0.000 0.000
1.452 4.103 4.889
0.000 1.844 3.538
0.000 4.103 0.271
0.000 6.362 3.538
1.452 0.000 4.995
1.452 1.952 1.200
1.452 6.254 1.200
```

Calculated values
Symmetry: No. 25

(4)
Entry from Alexandria via LeMat-Bulk: a relaxed ZnInGa2 crystal (GGA-PBE).

Geometry as POSCAR:
```
ZnInGa2
1.0
4.885 -2.078 0.000
4.885 2.078 0.000
-1.648 0.000 3.974
Zn In Ga
1 1 2
Cartesian
0.000 0.000 0.000
4.061 0.000 1.987
1.217 0.000 3.022
6.905 0.000 0.952
```

Calculated values
Symmetry: No. 12

(5)
Entry from Alexandria via LeMat-Bulk: a relaxed Zn2In2Ga crystal (GGA-PBE).

Geometry as POSCAR:
```
Zn2In2Ga
1.0
-1.808 1.808 8.447
1.808 -1.808 8.447
1.808 1.808 -8.447
Zn In Ga
2 2 1
Cartesian
1.808 0.000 4.224
0.000 1.808 4.224
0.000 0.000 1.783
0.000 0.000 15.112
0.000 0.000 8.447
```

Calculated values
Symmetry: No. 139

(6)
Entry from Alexandria via LeMat-Bulk: a relaxed Zn2In3Ga4 crystal (GGA-PBE).

Geometry as POSCAR:
```
Zn2In3Ga4
1.0
5.679 -2.115 0.000
5.679 2.115 0.000
-2.878 0.000 8.087
Zn In Ga
2 3 4
Cartesian
0.315 0.000 2.113
8.166 0.000 5.973
0.405 0.000 5.052
5.679 0.000 0.000
8.076 0.000 3.034
2.565 0.000 0.751
4.568 0.000 2.754
3.913 0.000 5.332
5.916 0.000 7.335
```

Calculated values
Symmetry: No. 12

(7)
Entry from Alexandria via LeMat-Bulk: a relaxed ZnInGa3 crystal (GGA-PBE).

Geometry as POSCAR:
```
ZnInGa3
1.0
2.933 -2.975 0.000
2.933 2.975 0.000
-2.866 0.000 5.837
Zn In Ga
1 1 3
Cartesian
0.000 0.000 0.000
0.093 0.000 4.645
1.518 1.460 1.635
1.518 -1.460 1.635
3.040 0.000 3.343
```

Calculated values
Symmetry: No. 8

(8)
Entry from Alexandria via LeMat-Bulk: a relaxed ZnInGa6 crystal (GGA-PBE).

Geometry as POSCAR:
```
ZnInGa6
1.0
4.214 0.000 0.000
0.000 4.214 0.000
0.000 0.000 8.735
Zn In Ga
1 1 6
Cartesian
0.000 0.000 0.000
0.000 0.000 4.368
0.000 2.107 2.019
0.000 2.107 6.716
2.107 0.000 2.019
2.107 0.000 6.716
2.107 2.107 0.000
2.107 2.107 4.368
```

Calculated values
Symmetry: No. 123

(9)
Entry from Alexandria via LeMat-Bulk: a relaxed ZnIn4Ga crystal (GGA-PBE).

Geometry as POSCAR:
```
ZnIn4Ga
1.0
-3.681 3.681 2.655
3.681 -3.681 2.655
3.681 3.681 -2.655
Zn In Ga
1 4 1
Cartesian
0.000 0.000 0.000
4.821 -1.140 1.328
2.541 1.140 1.328
-1.140 2.541 1.328
1.140 4.821 1.328
0.000 0.000 2.655
```

Calculated values
Symmetry: No. 97

(10)
Entry from Alexandria via LeMat-Bulk: a relaxed ZnInGa2 crystal (GGA-PBE).

Geometry as POSCAR:
```
ZnInGa2
1.0
2.117 1.222 5.561
-2.117 1.222 5.561
0.000 -2.445 5.561
Zn In Ga
1 1 2
Cartesian
0.000 0.000 0.000
0.000 0.000 13.709
0.000 0.000 6.490
0.000 0.000 10.019
```

Calculated values
Symmetry: No. 160

(11)
Entry from Alexandria via LeMat-Bulk: a relaxed ZnIn2Ga8 crystal (GGA-PBE).

Geometry as POSCAR:
```
ZnIn2Ga8
1.0
4.157 0.000 0.000
0.000 4.157 0.000
0.000 0.000 13.110
Zn In Ga
1 2 8
Cartesian
0.000 0.000 0.000
0.000 0.000 4.214
0.000 0.000 8.896
0.000 2.078 1.701
0.000 2.078 6.555
0.000 2.078 11.409
2.078 0.000 1.701
2.078 0.000 6.555
2.078 0.000 11.409
2.078 2.078 3.778
2.078 2.078 9.332
```

Calculated values
Symmetry: No. 123

(12)
Entry from Alexandria via LeMat-Bulk: a relaxed Zn2In2Ga crystal (GGA-PBE).

Geometry as POSCAR:
```
Zn2In2Ga
1.0
-2.221 2.221 5.887
2.221 -2.221 5.887
2.221 2.221 -5.887
Zn In Ga
2 2 1
Cartesian
0.000 0.000 1.201
0.000 0.000 10.572
2.221 0.000 2.943
0.000 2.221 2.943
0.000 0.000 5.887
```

Calculated values
Symmetry: No. 139

Number 1: calculated formation energy 4 kJ per mole of atoms. Number 2: calculated formation energy 25 kJ per mole of atoms. Number 3: calculated formation energy 7 kJ per mole of atoms. Number 4: calculated formation energy 7 kJ per mole of atoms. Number 5: calculated formation energy 11 kJ per mole of atoms. Number 6: calculated formation energy 5 kJ per mole of atoms. Number 7: calculated formation energy 2 kJ per mole of atoms. Number 8: calculated formation energy 5 kJ per mole of atoms. Number 9: calculated formation energy 3 kJ per mole of atoms. Number 10: calculated formation energy 8 kJ per mole of atoms. Number 11: calculated formation energy 5 kJ per mole of atoms. Number 12: calculated formation energy 17 kJ per mole of atoms.